a:
# TbEr2Bi

An optimized crystal structure of TbEr2Bi (GGA-PBE, Alexandria).

```
TbEr2Bi
1.0
3.526 0.000 0.000
1.763 3.053 0.000
1.763 1.018 11.928
Tb Bi Er
1 1 2
Direct
0.500 0.500 0.500
0.000 0.000 0.000
0.088 0.088 0.737
0.912 0.912 0.263
```

Total moment ... 0.00 μB per formula unit
Mass density ... 9.1 Mg/m³
Space-group type ... R-3m, No. 166

---

b:
# TbEr2Bi

An optimized crystal structure of TbEr2Bi (GGA-PBE, Alexandria).

```
TbEr2Bi
1.0
-3.298 1.533 -0.037
-2.863 -1.813 1.320
-0.226 4.076 10.117
Tb Er Bi
1 2 1
Direct
0.500 0.500 0.501
0.080 0.080 0.760
0.254 0.254 0.239
0.667 0.667 0.000
```

Total moment ... 0.00 μB per formula unit
Mass density ... 9.5 Mg/m³
Space-group type ... R3m, No. 160

---

Stability summary - winner: b; margin: 213 meV/atom.

---

a:
# TbEr2Bi

An optimized crystal structure of TbEr2Bi (GGA-PBE, Alexandria).

```
TbEr2Bi
1.0
4.026 0.000 0.000
0.000 4.026 0.000
0.000 0.000 7.304
Tb Bi Er
1 1 2
Direct
0.500 0.500 0.000
0.500 0.500 0.500
0.000 0.000 0.731
0.000 0.000 0.269
```

Total moment ... 0.00 μB per formula unit
Mass density ... 9.9 Mg/m³
Space-group type ... P4/mmm, No. 123

---

b:
# TbEr2Bi

An optimized crystal structure of TbEr2Bi (GGA-PBE, Alexandria).

```
TbEr2Bi
1.0
4.613 0.000 -0.020
0.000 4.573 0.000
-2.259 0.000 11.347
Tb Er Bi
2 4 2
Direct
0.693 0.750 0.385
0.307 0.250 0.615
0.559 0.250 0.119
0.441 0.750 0.881
0.058 0.750 0.117
0.942 0.250 0.883
0.167 0.250 0.334
0.833 0.750 0.666
```

Total moment ... 0.00 μB per formula unit
Mass density ... 9.8 Mg/m³
Space-group type ... P2_1/m, No. 11

---

Stability summary - winner: b; margin: 100 meV/atom.

---

a:
# Tb2ErBi

An optimized crystal structure of Tb2ErBi (GGA-PBE, Alexandria).

```
Tb2ErBi
1.0
-3.959 -1.148 0.865
-0.064 -2.393 -3.465
2.299 -5.235 3.573
Tb Bi Er
2 1 1
Direct
0.000 0.000 0.759
0.000 0.000 0.241
0.500 0.500 0.000
0.500 0.500 0.500
```

Total moment ... 0.00 μB per formula unit
Mass density ... 9.6 Mg/m³
Space-group type ... P4/mmm, No. 123

---

b:
# Tb2ErBi

An optimized crystal structure of Tb2ErBi (GGA-PBE, Alexandria).

```
Tb2ErBi
1.0
4.639 0.000 -0.020
0.000 4.601 0.000
-2.272 0.000 11.338
Tb Er Bi
4 2 2
Direct
0.562 0.250 0.125
0.438 0.750 0.875
0.060 0.750 0.120
0.940 0.250 0.880
0.691 0.750 0.380
0.309 0.250 0.620
0.172 0.250 0.343
0.828 0.750 0.657
```

Total moment ... 0.00 μB per formula unit
Mass density ... 9.5 Mg/m³
Space-group type ... P2_1/m, No. 11

---

c:
# Tb2ErBi

An optimized crystal structure of Tb2ErBi (GGA-PBE, Alexandria).

```
Tb2ErBi
1.0
-0.751 -2.340 3.201
2.539 -0.004 3.137
-4.341 6.280 6.118
Tb Er Bi
2 1 1
Direct
0.071 0.071 0.787
0.262 0.262 0.213
0.500 0.500 0.499
0.666 0.666 0.001
```

Total moment ... 0.67 μB per formula unit
Mass density ... 8.6 Mg/m³
Space-group type ... R3m, No. 160

---

Stability summary - winner: b; margin: 31 meV/atom.

---

a:
# TbErBi2

An optimized crystal structure of TbErBi2 (GGA-PBE, Alexandria).

```
TbErBi2
1.0
-0.291 0.016 4.423
0.282 -3.806 2.253
7.504 -0.417 2.716
Tb Er Bi
1 1 2
Direct
0.498 0.498 0.505
0.669 0.669 0.994
0.081 0.081 0.758
0.252 0.252 0.243
```

Total moment ... 0.00 μB per formula unit
Mass density ... 9.6 Mg/m³
Space-group type ... R3m, No. 160

---

b:
# TbErBi2

An optimized crystal structure of TbErBi2 (GGA-PBE, Alexandria).

```
TbErBi2
1.0
-3.326 -1.218 2.721
-1.953 -4.217 -4.275
5.283 -6.185 3.687
Tb Er Bi
2 2 4
Direct
0.500 0.000 0.625
0.000 0.500 0.375
0.000 0.500 0.875
0.500 0.000 0.125
0.000 0.000 0.877
0.000 0.000 0.373
0.500 0.500 0.627
0.500 0.500 0.123
```

Total moment ... 0.00 μB per formula unit
Mass density ... 9.8 Mg/m³
Space-group type ... Pmmn, No. 59

---

Stability summary - winner: b; margin: 98 meV/atom.